No. 1
Compound: CaMgAs2
Source: Alexandria via LeMat-Bulk
Functional: PBE
Structure: relaxed

Summary:
Energy of formation from the pure elements = -0.614 eV/atom

Structure (POSCAR):
```
CaMgAs2
1.0
4.5078 0.0098 -0.0110
2.7492 3.5724 -0.0110
1.6475 0.8132 5.7205
Ca Mg As
1 1 2
direct
0.7500 0.7500 0.7500
0.2500 0.2500 0.2500
0.9930 0.9930 0.0407
0.5070 0.5070 0.4593
```

---

No. 2
Compound: CaMg2As
Source: Alexandria via LeMat-Bulk
Functional: PBE
Structure: relaxed

Summary:
Energy of formation from the pure elements = -0.133 eV/atom

Structure (POSCAR):
```
CaMg2As
1.0
-1.3506 4.0680 -3.9481
-2.6835 -5.1664 -0.2610
-2.4168 1.1535 2.0152
Mg Ca As
2 1 1
direct
0.0000 0.0000 0.0000
0.5000 0.5000 0.0000
0.0000 0.5000 0.5000
0.5000 0.0000 0.5000
```